Below is a PBEsol-optimized structure of FeTcPb, with properties calculated at the meta-GGA SCAN level.

a b c (Å): 3.300 4.165 4.165
angles (deg): 120.00 90.00 90.00
Each line ends with the local moment (μB).
Fractional coordinates of all 3 atoms:
Tc  0.208  0.667  0.333  0.34
Pb  0.681  0.333  0.667  0.00
Fe  0.110  0.000  0.000  2.63

Computed properties:
E	-42.310	eV per atom
DOS(E_F)	2.00	states/eV/cell



Below is a PBEsol-optimized structure of Fe3TcPb, with properties calculated at the meta-GGA SCAN level.

a b c (Å): 4.455 4.455 4.455
angles (deg): 90.00 90.00 90.00
Each line ends with the local moment (μB).
Fractional coordinates of all 5 atoms:
Fe  0.000  0.500  0.000  2.85
Fe  0.500  0.000  0.000  2.85
Fe  0.000  0.000  0.500  2.85
Pb  0.500  0.500  0.500  -0.06
Tc  0.000  0.000  0.000  -0.23

Computed properties:
E	-31.735	eV per atom
DOS(E_F)	6.13	states/eV/cell



Below is a PBEsol-optimized structure of FeTc2Pb, with properties calculated at the meta-GGA SCAN level.

a b c (Å): 2.901 2.901 8.928
angles (deg): 80.65 80.65 60.00
Each line ends with the local moment (μB).
Fractional coordinates of all 4 atoms:
Tc  0.751  0.751  0.747  0.13
Tc  0.009  0.009  0.973  -0.14
Fe  0.492  0.492  0.524  2.93
Pb  0.248  0.248  0.257  -0.02

Computed properties:
E	-40.426	eV per atom
DOS(E_F)	3.60	states/eV/cell



Number 1: formation enthalpy at 0 K 0.6807 eV/atom. Number 2: formation enthalpy at 0 K 1.3112 eV/atom. Number 3: formation enthalpy at 0 K 0.5819 eV/atom.